(1)
DFT (PBE) results for crystalline Ca3ReAs at its relaxed geometry.

Energy above the most stable polymorph in this dataset (meV per atom): 86

a b c (Å): 5.3515 5.3515 5.3515
angles (deg): 90.00 90.00 90.00
Closest atoms and distances in Å follow each position.
Sites, in units of the cell vectors:
Ca 0.0000 0.5000 0.0000  2 Re 2.68
Ca 0.0000 0.0000 0.5000  2 Re 2.68
Ca 0.5000 0.0000 0.0000  2 Re 2.68
Re 0.0000 0.0000 0.0000  6 Ca 2.68
As 0.5000 0.5000 0.5000  12 Ca 3.78


(2)
DFT (PBE) results for crystalline Ca2ReAs at its relaxed geometry.

a b c (Å): 4.8087 4.8087 6.6379
angles (deg): 83.56 83.56 35.80
Closest atoms and distances in Å follow each position.
Sites, in units of the cell vectors:
Re 0.7500 0.7500 0.7500  6 Ca 2.93-3.06, 2 Re 2.96
As 0.2500 0.2500 0.2500  2 As 2.96, 6 Ca 3.03
Ca 0.9958 0.9958 0.9956  3 Re 2.93-3.06, 2 Ca 2.96, 3 As 3.03
Ca 0.5042 0.5042 0.5044  3 Re 2.93-3.06, 2 Ca 2.96, 3 As 3.03


(3)
DFT (PBE) results for crystalline Ca2ReAs at its relaxed geometry.

a b c (Å): 3.0633 3.0633 9.0221
angles (deg): 90.00 90.00 90.12
Closest atoms and distances in Å follow each position.
Sites, in units of the cell vectors:
As 0.5000 0.5000 0.7500  4 As 3.06, 8 Ca 3.10-3.11
Ca 0.0000 0.0000 0.5034  4 Ca 3.06, 4 As 3.10-3.11, 4 Re 3.15
Ca 0.0000 0.0000 0.9966  4 Ca 3.06, 4 As 3.10-3.11, 4 Re 3.15
Re 0.5000 0.5000 0.2500  4 Re 3.06, 8 Ca 3.15


(4)
DFT (PBE) results for crystalline CaReAs3 at its relaxed geometry.

Energy above the most stable polymorph in this dataset (meV per atom): 1897

a b c (Å): 5.0465 5.0465 5.0465
angles (deg): 90.00 90.00 90.00
Closest atoms and distances in Å follow each position.
Sites, in units of the cell vectors:
Ca 0.0000 0.0000 0.0000  6 As 2.52
As 0.5000 0.0000 0.0000  2 Ca 2.52
As 0.0000 0.0000 0.5000  2 Ca 2.52
As 0.0000 0.5000 0.0000  2 Ca 2.52
Re 0.5000 0.5000 0.5000  12 As 3.57


(5)
DFT (PBE) results for crystalline Ca2ReAs at its relaxed geometry.

a b c (Å): 5.5007 5.5007 2.9101
angles (deg): 90.00 90.00 108.56
Closest atoms and distances in Å follow each position.
Sites, in units of the cell vectors:
Ca 0.5000 0.5000 0.0000  4 Ca 2.91-3.21, 4 Re 3.11, 4 As 3.11
Ca 0.0000 0.0000 0.0000  4 Ca 2.91-3.21, 4 As 3.11, 4 Re 3.11
Re 0.5000 0.0000 0.5000  2 Re 2.91, 8 Ca 3.11, 2 As 3.21
As 0.0000 0.5000 0.5000  2 As 2.91, 8 Ca 3.11, 2 Re 3.21


(6)
DFT (PBE) results for crystalline Ca2ReAs at its relaxed geometry.

a b c (Å): 7.9540 7.9540 7.9540
angles (deg): 30.63 30.63 30.63
Closest atoms and distances in Å follow each position.
Sites, in units of the cell vectors:
Re 0.4581 0.4581 0.4581  3 As 2.43
Ca 0.2146 0.2146 0.2146  3 As 3.16, 3 Re 3.17
Ca 0.0352 0.0352 0.0352  3 Re 3.17, 3 As 3.18
As 0.7920 0.7920 0.7920  3 Re 2.43


(7)
DFT (PBE) results for crystalline CaReAs3 at its relaxed geometry.

Energy above the most stable polymorph in this dataset (meV per atom): 0

a b c (Å): 4.9095 4.9095 4.9095
angles (deg): 90.00 90.00 90.00
Closest atoms and distances in Å follow each position.
Sites, in units of the cell vectors:
As 0.0000 0.5000 0.0000  2 Re 2.45
As 0.0000 0.0000 0.5000  2 Re 2.45
As 0.5000 0.0000 0.0000  2 Re 2.45
Ca 0.5000 0.5000 0.5000  12 As 3.47
Re 0.0000 0.0000 0.0000  6 As 2.45


(8)
DFT (PBE) results for crystalline CaReAs4 at its relaxed geometry.

a b c (Å): 5.5363 5.5363 5.5363
angles (deg): 60.00 60.00 60.00
Closest atoms and distances in Å follow each position.
Sites, in units of the cell vectors:
As 0.3743 0.8771 0.3743  6 As 2.75-2.78
As 0.3743 0.3743 0.3743  6 As 2.75-2.78
As 0.3743 0.3743 0.8771  6 As 2.75-2.78
As 0.8771 0.3743 0.3743  6 As 2.75-2.78
Re 0.0000 0.0000 0.0000  12 As 3.24, 4 Ca 3.39
Ca 0.7500 0.7500 0.7500  12 As 3.25, 4 Re 3.39


(9)
DFT (PBE) results for crystalline CaRe4As at its relaxed geometry.

a b c (Å): 5.3346 5.3346 5.3346
angles (deg): 60.00 60.00 60.00
Closest atoms and distances in Å follow each position.
Sites, in units of the cell vectors:
Re 0.3759 0.3759 0.3759  6 Re 2.65-2.69
Re 0.3759 0.3759 0.8723  6 Re 2.65-2.69
Re 0.3759 0.8723 0.3759  6 Re 2.65-2.69
Re 0.8723 0.3759 0.3759  6 Re 2.65-2.69
As 0.7500 0.7500 0.7500  12 Re 3.13, 4 Ca 3.27
Ca 0.0000 0.0000 0.0000  12 Re 3.13, 4 As 3.27


(10)
DFT (PBE) results for crystalline Ca2ReAs at its relaxed geometry.

a b c (Å): 4.1883 2.9895 7.4183
angles (deg): 66.14 90.00 90.00
Closest atoms and distances in Å follow each position.
Sites, in units of the cell vectors:
Re 0.5000 0.2500 0.2500  2 Re 2.99, 8 Ca 3.10
As 0.5000 0.7500 0.7500  2 As 2.99, 8 Ca 3.07
Ca 0.0000 0.0038 0.9959  3 Ca 2.99-3.34, 4 As 3.07, 4 Re 3.10
Ca 0.0000 0.4962 0.5041  3 Ca 2.99-3.34, 4 As 3.07, 4 Re 3.10


(11)
DFT (PBE) results for crystalline Ca2ReAs at its relaxed geometry.

a b c (Å): 3.3429 3.3429 8.5516
angles (deg): 90.00 90.00 90.00
Closest atoms and distances in Å follow each position.
Sites, in units of the cell vectors:
Ca 0.0000 0.0000 0.9246  1 Re 3.06, 4 As 3.11, 4 Ca 3.34
Ca 0.5000 0.5000 0.3197  1 As 3.16, 4 Re 3.17, 4 Ca 3.34
Re 0.0000 0.0000 0.5669  4 As 2.58
As 0.5000 0.5000 0.6888  4 Re 2.58


(12)
DFT (PBE) results for crystalline Ca3ReAs at its relaxed geometry.

Energy above the most stable polymorph in this dataset (meV per atom): 0

a b c (Å): 5.5086 5.5086 5.5086
angles (deg): 90.00 90.00 90.00
Closest atoms and distances in Å follow each position.
Sites, in units of the cell vectors:
Re 0.5000 0.5000 0.5000  12 Ca 3.90
Ca 0.0000 0.0000 0.5000  2 As 2.75
Ca 0.0000 0.5000 0.0000  2 As 2.75
Ca 0.5000 0.0000 0.0000  2 As 2.75
As 0.0000 0.0000 0.0000  6 Ca 2.75


Number 1: DFT formation energy 0.634 eV/atom. Number 2: DFT formation energy 0.436 eV/atom. Number 3: DFT formation energy 0.161 eV/atom. Number 4: DFT formation energy 1.998 eV/atom. Number 5: DFT formation energy 0.212 eV/atom. Number 6: DFT formation energy -0.061 eV/atom. Number 7: DFT formation energy 0.101 eV/atom. Number 8: DFT formation energy 0.601 eV/atom. Number 9: DFT formation energy 0.502 eV/atom. Number 10: DFT formation energy 0.189 eV/atom. Number 11: DFT formation energy -0.056 eV/atom. Number 12: DFT formation energy 0.548 eV/atom.